# 1
Computed, not measured: crystalline MnBe3Au at its relaxed geometry at the PBE level of DFT.

```
MnBe3Au
1.0
4.296 0.000 0.000
0.000 4.296 0.000
0.000 0.000 4.296
Mn Be Au
1 3 1
Direct
0.000 0.000 0.000
0.000 0.500 0.500
0.500 0.000 0.500
0.500 0.500 0.000
0.500 0.500 0.500
```

Values from the calculation:
Final energy   -20.10 eV/cell
Offset from the most stable computed form   0 meV per atom
Spin magnetization   4.17 μB per formula unit
Energy relative to the elements   0.70 eV per atom
Fermi-level density of states   2.0 states/eV per cell

***

# 2
Computed, not measured: crystalline Ac3Ge8Os3 at its relaxed geometry at the PBE level of DFT.

```
Ac3Ge8Os3
1.0
-2.182 5.471 6.247
2.182 -5.471 6.247
2.182 5.471 -6.247
Ac Ge Os
3 8 3
Direct
0.000 0.000 0.000
0.315 0.315 0.000
0.685 0.685 0.000
0.012 0.656 0.357
0.181 0.885 0.296
0.299 0.656 0.643
0.411 0.115 0.296
0.589 0.885 0.704
0.701 0.344 0.357
0.819 0.115 0.704
0.988 0.344 0.643
0.294 0.500 0.794
0.500 0.000 0.500
0.706 0.500 0.206
```

Values from the calculation:
Final energy   -86.25 eV/cell
Spin magnetization   0.00 μB per formula unit
Energy relative to the elements   -0.24 eV per atom
Fermi-level density of states   6.4 states/eV per cell

***

# 3
Computed, not measured: crystalline LiCeMgZn at its relaxed geometry at the PBE level of DFT.

```
LiCeMgZn
1.0
0.000 3.504 3.504
3.504 0.000 3.504
3.504 3.504 0.000
Li Ce Mg Zn
1 1 1 1
Direct
0.000 0.000 0.000
0.750 0.750 0.750
0.250 0.250 0.250
0.500 0.500 0.500
```

Values from the calculation:
Final energy   -11.14 eV/cell
Spin magnetization   0.87 μB per formula unit
Energy relative to the elements   -0.11 eV per atom
Fermi-level density of states   6.3 states/eV per cell

***

# 4
Computed, not measured: crystalline Hf5In2Sn2 at its relaxed geometry at the PBE level of DFT.

```
Hf5In2Sn2
1.0
-9.088 2.858 3.989
9.088 -2.858 3.989
9.088 2.858 -3.989
Hf In Sn
10 4 4
Direct
0.108 0.092 0.201
0.108 0.408 0.516
0.221 0.097 0.624
0.473 0.597 0.376
0.624 0.003 0.289
0.624 0.836 0.121
0.714 0.336 0.711
0.714 0.503 0.879
0.892 0.592 0.484
0.892 0.908 0.799
0.084 0.745 0.839
0.686 0.186 0.500
0.686 0.686 0.000
0.905 0.245 0.161
0.261 0.433 0.001
0.261 0.761 0.329
0.432 0.261 0.999
0.432 0.933 0.671
```

Values from the calculation:
Final energy   -127.17 eV/cell
Spin magnetization   0.00 μB per formula unit
Energy relative to the elements   -0.04 eV per atom
Fermi-level density of states   18.2 states/eV per cell

***

# 5
Computed, not measured: crystalline LiCaMgPt at its relaxed geometry at the PBE level of DFT.

```
LiCaMgPt
1.0
0.000 3.414 3.414
3.414 0.000 3.414
3.414 3.414 0.000
Li Ca Mg Pt
1 1 1 1
Direct
0.000 0.000 0.000
0.250 0.250 0.250
0.750 0.750 0.750
0.500 0.500 0.500
```

Values from the calculation:
Final energy   -13.76 eV/cell
Spin magnetization   0.00 μB per formula unit
Energy relative to the elements   -0.55 eV per atom
Fermi-level density of states   1.6 states/eV per cell

***

# 6
Computed, not measured: crystalline PaMn4Sb at its relaxed geometry at the PBE level of DFT.

```
PaMn4Sb
1.0
0.000 3.617 3.617
3.617 0.000 3.617
3.617 3.617 0.000
Pa Mn Sb
1 4 1
Direct
0.000 0.000 0.000
0.374 0.374 0.374
0.374 0.374 0.877
0.374 0.877 0.374
0.877 0.374 0.374
0.750 0.750 0.750
```

Values from the calculation:
Final energy   -49.77 eV/cell
Spin magnetization   8.23 μB per formula unit
Fermi-level density of states   7.7 states/eV per cell

***

# 7
Computed, not measured: crystalline MnBe2Ru2 at its relaxed geometry at the PBE level of DFT.

```
MnBe2Ru2
1.0
6.061 0.000 0.000
0.000 6.061 0.000
0.000 0.000 2.912
Mn Be Ru
2 4 4
Direct
0.000 0.000 0.000
0.500 0.500 0.000
0.125 0.375 0.000
0.375 0.875 0.000
0.625 0.125 0.000
0.875 0.625 0.000
0.172 0.672 0.500
0.328 0.172 0.500
0.672 0.828 0.500
0.828 0.328 0.500
```

Values from the calculation:
Final energy   -72.08 eV/cell
Offset from the most stable computed form   0 meV per atom
Spin magnetization   0.00 μB per formula unit
Energy relative to the elements   -0.17 eV per atom
Fermi-level density of states   6.9 states/eV per cell

***

# 8
Computed, not measured: crystalline La2Pr2Sm7 at its relaxed geometry at the PBE level of DFT.

```
La2Pr2Sm7
1.0
5.781 -5.914 0.000
5.781 5.914 0.000
-2.458 0.000 5.704
La Pr Sm
2 2 7
Direct
0.214 0.786 0.000
0.786 0.214 0.000
0.406 0.406 0.688
0.594 0.594 0.312
0.000 0.000 0.500
0.065 0.589 0.330
0.236 0.236 0.079
0.411 0.935 0.670
0.589 0.065 0.330
0.764 0.764 0.921
0.935 0.411 0.670
```

Values from the calculation:
Final energy   -50.94 eV/cell
Offset from the most stable computed form   0 meV per atom
Spin magnetization   0.00 μB per formula unit
Energy relative to the elements   0.14 eV per atom
Fermi-level density of states   16.6 states/eV per cell

***

# 9
Computed, not measured: crystalline BaLa2Ir at its relaxed geometry at the PBE level of DFT.

```
BaLa2Ir
1.0
5.103 0.000 0.000
0.000 5.103 0.000
0.000 0.000 4.492
Ba La Ir
1 2 1
Direct
0.000 0.000 0.000
0.000 0.500 0.500
0.500 0.000 0.500
0.500 0.500 0.000
```

Values from the calculation:
Final energy   -20.04 eV/cell
Offset from the most stable computed form   611 meV per atom
Spin magnetization   0.00 μB per formula unit
Energy relative to the elements   0.15 eV per atom
Fermi-level density of states   3.6 states/eV per cell

***

# 10
Computed, not measured: crystalline ScAg2Au at its relaxed geometry at the PBE level of DFT.

```
ScAg2Au
1.0
4.015 0.000 0.000
0.000 4.165 0.000
0.000 0.000 4.535
Sc Ag Au
1 2 1
Direct
0.000 0.000 0.000
0.000 0.500 0.500
0.500 0.000 0.500
0.500 0.500 0.000
```

Values from the calculation:
Final energy   -16.36 eV/cell
Offset from the most stable computed form   105 meV per atom
Spin magnetization   0.00 μB per formula unit
Energy relative to the elements   -0.26 eV per atom
Fermi-level density of states   2.4 states/eV per cell

***

# 11
Computed, not measured: crystalline Er2PuThP4 at its relaxed geometry at the PBE level of DFT.

```
Er2PuThP4
1.0
6.958 0.000 0.000
0.000 4.038 0.000
-2.345 0.000 6.567
Er Pu Th P
2 1 1 4
Direct
0.000 0.000 0.000
0.000 0.500 0.500
0.500 0.000 0.500
0.500 0.500 0.000
0.242 0.000 0.744
0.247 0.500 0.253
0.753 0.500 0.747
0.758 0.000 0.256
```

Values from the calculation:
Final energy   -64.42 eV/cell
Spin magnetization   5.21 μB per formula unit
Energy relative to the elements   -1.49 eV per atom
Fermi-level density of states   12.4 states/eV per cell

***

# 12
Computed, not measured: crystalline GaCoAsSe2 at its relaxed geometry at the PBE level of DFT.

```
GaCoAsSe2
1.0
4.977 0.000 0.000
0.000 4.977 0.000
0.000 0.000 4.793
Ga Co As Se
1 1 1 2
Direct
0.000 0.000 0.000
0.500 0.500 0.500
0.000 0.000 0.500
0.000 0.500 0.000
0.500 0.000 0.000
```

Values from the calculation:
Final energy   -17.02 eV/cell
Offset from the most stable computed form   681 meV per atom
Spin magnetization   2.15 μB per formula unit
Fermi-level density of states   5.9 states/eV per cell